A.
Material: Li3Ga4Ni4
Method: DFT, PBE
State: optimized geometry

The structure in CIF format:
```
data_Li3Ga4Ni4
_cell_length_a 3.958
_cell_length_b 6.521
_cell_length_c 12.528
_cell_angle_alpha 90.00
_cell_angle_beta 90.00
_cell_angle_gamma 90.00
_symmetry_space_group_name_H-M 'I m m m'
_symmetry_Int_Tables_number 71
_symmetry_space_group_name_Hall '-I 2 2'
loop_
_atom_site_label
_atom_site_fract_x
_atom_site_fract_y
_atom_site_fract_z
Li1 0.000 0.000 0.000
Li2 0.000 0.500 0.130
Ga1 0.000 0.000 0.211
Ga2 0.000 0.209 0.500
Ni1 0.000 0.304 0.320
```

Output
Mass density   5.49 Mg/m³

=====

B.
Material: Li3Ga4Ni4
Method: DFT, PBE
State: optimized geometry

The structure in CIF format:
```
data_Li3Ga4Ni4
_cell_length_a 2.714
_cell_length_b 7.527
_cell_length_c 14.589
_cell_angle_alpha 90.00
_cell_angle_beta 90.00
_cell_angle_gamma 90.00
_symmetry_space_group_name_H-M 'I m m m'
_symmetry_Int_Tables_number 71
_symmetry_space_group_name_Hall '-I 2 2'
loop_
_atom_site_label
_atom_site_fract_x
_atom_site_fract_y
_atom_site_fract_z
Li1 0.000 0.000 0.000
Li2 0.000 0.500 0.105
Ga1 0.000 0.291 0.345
Ni1 0.000 0.000 0.246
Ni2 0.000 0.194 0.500
```

Output
Mass density   5.96 Mg/m³

=====

Most stable: A

=====

A.
Material: Li3GaNi
Method: DFT, PBE
State: optimized geometry

The structure in CIF format:
```
data_Li3GaNi
_cell_length_a 4.474
_cell_length_b 4.474
_cell_length_c 4.474
_cell_angle_alpha 90.00
_cell_angle_beta 90.00
_cell_angle_gamma 90.00
_symmetry_space_group_name_H-M 'P m -3 m'
_symmetry_Int_Tables_number 221
_symmetry_space_group_name_Hall '-P 4 2 3'
loop_
_atom_site_label
_atom_site_fract_x
_atom_site_fract_y
_atom_site_fract_z
Li1 0.000 0.000 0.500
Ga1 0.500 0.500 0.500
Ni1 0.000 0.000 0.000
```

Output
Mass density   2.77 Mg/m³

=====

B.
Material: Li3GaNi
Method: DFT, PBE
State: optimized geometry

The structure in CIF format:
```
data_Li3GaNi
_cell_length_a 5.016
_cell_length_b 5.180
_cell_length_c 6.419
_cell_angle_alpha 69.85
_cell_angle_beta 72.54
_cell_angle_gamma 85.89
_symmetry_space_group_name_H-M 'P -1'
_symmetry_Int_Tables_number 2
loop_
_symmetry_equiv_pos_as_xyz
'x,y,z'
'-x,-y,-z'
loop_
_atom_site_label
_atom_site_fract_x
_atom_site_fract_y
_atom_site_fract_z
Li1 0.123 0.290 0.382
Li2 0.199 0.935 0.127
Li3 0.373 0.335 0.707
Ga1 0.338 0.840 0.698
Ni1 0.000 0.500 0.000
Ni2 0.500 0.500 0.000
```

Output
Mass density   3.32 Mg/m³

=====

Most stable: B

=====

A.
Material: Li2Ga6Ni
Method: DFT, PBE
State: optimized geometry

The structure in CIF format:
```
data_Li2Ga6Ni
_cell_length_a 6.139
_cell_length_b 4.118
_cell_length_c 6.672
_cell_angle_alpha 90.00
_cell_angle_beta 117.36
_cell_angle_gamma 90.00
_symmetry_space_group_name_H-M 'P 1 2/m 1'
_symmetry_Int_Tables_number 10
loop_
_symmetry_equiv_pos_as_xyz
'x,y,z'
'-x,-y,-z'
'-x,y,-z'
'x,-y,z'
loop_
_atom_site_label
_atom_site_fract_x
_atom_site_fract_y
_atom_site_fract_z
Li1 0.213 0.000 0.425
Ga1 0.149 0.500 0.714
Ga2 0.250 0.000 0.001
Ga3 0.434 0.500 0.286
Ni1 0.000 0.500 0.000
```

Output
Mass density   5.44 Mg/m³

=====

B.
Material: Li2Ga6Ni
Method: DFT, PBE
State: optimized geometry

The structure in CIF format:
```
data_Li2Ga6Ni
_cell_length_a 13.150
_cell_length_b 7.668
_cell_length_c 2.881
_cell_angle_alpha 90.00
_cell_angle_beta 90.20
_cell_angle_gamma 90.00
_symmetry_space_group_name_H-M 'C 1 2/m 1'
_symmetry_Int_Tables_number 12
loop_
_symmetry_equiv_pos_as_xyz
'x,y,z'
'-x,-y,-z'
'-x,y,-z'
'x,-y,z'
'x+1/2,y+1/2,z'
'-x+1/2,-y+1/2,-z'
'-x+1/2,y+1/2,-z'
'x+1/2,-y+1/2,z'
loop_
_atom_site_label
_atom_site_fract_x
_atom_site_fract_y
_atom_site_fract_z
Li1 0.167 0.000 0.000
Ga1 0.000 0.172 0.500
Ga2 0.163 0.337 0.498
Ni1 0.000 0.500 0.000
```

Output
Mass density   5.61 Mg/m³

=====

Most stable: A

=====

A.
Material: LiGa2Ni3
Method: DFT, PBE
State: optimized geometry

The structure in CIF format:
```
data_LiGa2Ni3
_cell_length_a 5.0634
_cell_length_b 5.0634
_cell_length_c 3.8947
_cell_angle_alpha 90.00
_cell_angle_beta 90.00
_cell_angle_gamma 120.00
_symmetry_space_group_name_H-M 'P 6/m m m'
_symmetry_Int_Tables_number 191
_symmetry_space_group_name_Hall '-P 6 2'
loop_
_atom_site_label
_atom_site_fract_x
_atom_site_fract_y
_atom_site_fract_z
Li1 0.0000 0.0000 0.0000
Ga1 0.3333 0.6667 0.5000
Ni1 0.0000 0.5000 0.0000
```

Output
Mass density   6.19 Mg/m³

=====

B.
Material: LiGa2Ni3
Method: DFT, PBE
State: optimized geometry

The structure in CIF format:
```
data_LiGa2Ni3
_cell_length_a 5.0252
_cell_length_b 5.0252
_cell_length_c 3.8828
_cell_angle_alpha 90.00
_cell_angle_beta 90.00
_cell_angle_gamma 120.00
_symmetry_space_group_name_H-M 'P 6/m m m'
_symmetry_Int_Tables_number 191
_symmetry_space_group_name_Hall '-P 6 2'
loop_
_atom_site_label
_atom_site_fract_x
_atom_site_fract_y
_atom_site_fract_z
Li1 0.0000 0.0000 0.0000
Ga1 0.3333 0.6667 0.0000
Ni1 0.0000 0.5000 0.5000
```

Output
Mass density   6.30 Mg/m³

=====

Most stable: B

=====

A.
Material: LiGa2Ni4
Method: DFT, PBE
State: optimized geometry

The structure in CIF format:
```
data_LiGa2Ni4
_cell_length_a 3.843
_cell_length_b 3.843
_cell_length_c 12.288
_cell_angle_alpha 90.00
_cell_angle_beta 90.00
_cell_angle_gamma 90.00
_symmetry_space_group_name_H-M 'I 4/m m m'
_symmetry_Int_Tables_number 139
_symmetry_space_group_name_Hall '-I 4 2'
loop_
_atom_site_label
_atom_site_fract_x
_atom_site_fract_y
_atom_site_fract_z
Li1 0.000 0.000 0.000
Ga1 0.000 0.000 0.368
Ni1 0.000 0.000 0.178
Ni2 0.000 0.500 0.000
```

Output
Mass density   6.97 Mg/m³

=====

B.
Material: LiGa2Ni4
Method: DFT, PBE
State: optimized geometry

The structure in CIF format:
```
data_LiGa2Ni4
_cell_length_a 10.906
_cell_length_b 4.259
_cell_length_c 4.259
_cell_angle_alpha 90.00
_cell_angle_beta 112.77
_cell_angle_gamma 90.00
_symmetry_space_group_name_H-M 'C 1 2/m 1'
_symmetry_Int_Tables_number 12
loop_
_symmetry_equiv_pos_as_xyz
'x,y,z'
'-x,-y,-z'
'-x,y,-z'
'x,-y,z'
'x+1/2,y+1/2,z'
'-x+1/2,-y+1/2,-z'
'-x+1/2,y+1/2,-z'
'x+1/2,-y+1/2,z'
loop_
_atom_site_label
_atom_site_fract_x
_atom_site_fract_y
_atom_site_fract_z
Li1 0.000 0.000 0.000
Ga1 0.135 0.500 0.635
Ni1 0.000 0.000 0.500
Ni2 0.000 0.500 0.000
Ni3 0.250 0.000 0.751
```

Output
Mass density   6.94 Mg/m³

=====

Most stable: B

=====

A.
Material: LiGa4Ni2
Method: DFT, PBE
State: optimized geometry

The structure in CIF format:
```
data_LiGa4Ni2
_cell_length_a 4.1220
_cell_length_b 4.1220
_cell_length_c 20.0173
_cell_angle_alpha 90.00
_cell_angle_beta 90.00
_cell_angle_gamma 120.00
_symmetry_space_group_name_H-M 'R -3 m'
_symmetry_Int_Tables_number 166
_symmetry_space_group_name_Hall '-R 3 2"'
loop_
_atom_site_label
_atom_site_fract_x
_atom_site_fract_y
_atom_site_fract_z
Li1 0.0000 0.0000 0.0000
Ga1 0.0000 0.0000 0.1299
Ga2 0.0000 0.0000 0.3837
Ni1 0.0000 0.0000 0.2531
```

Output
Mass density   6.82 Mg/m³

=====

B.
Material: LiGa4Ni2
Method: DFT, PBE
State: optimized geometry

The structure in CIF format:
```
data_LiGa4Ni2
_cell_length_a 4.411
_cell_length_b 4.411
_cell_length_c 12.019
_cell_angle_alpha 90.00
_cell_angle_beta 90.00
_cell_angle_gamma 90.00
_symmetry_space_group_name_H-M 'I 4/m m m'
_symmetry_Int_Tables_number 139
_symmetry_space_group_name_Hall '-I 4 2'
loop_
_atom_site_label
_atom_site_fract_x
_atom_site_fract_y
_atom_site_fract_z
Li1 0.000 0.000 0.000
Ga1 0.000 0.000 0.205
Ga2 0.000 0.500 0.000
Ni1 0.000 0.000 0.400
```

Output
Mass density   5.73 Mg/m³

=====

Most stable: A

=====

A.
Material: Li6Ga2Ni
Method: DFT, PBE
State: optimized geometry

The structure in CIF format:
```
data_Li6Ga2Ni
_cell_length_a 7.148
_cell_length_b 13.557
_cell_length_c 2.936
_cell_angle_alpha 90.00
_cell_angle_beta 99.82
_cell_angle_gamma 90.00
_symmetry_space_group_name_H-M 'C 1 2/m 1'
_symmetry_Int_Tables_number 12
loop_
_symmetry_equiv_pos_as_xyz
'x,y,z'
'-x,-y,-z'
'-x,y,-z'
'x,-y,z'
'x+1/2,y+1/2,z'
'-x+1/2,-y+1/2,-z'
'-x+1/2,y+1/2,-z'
'x+1/2,-y+1/2,z'
loop_
_atom_site_label
_atom_site_fract_x
_atom_site_fract_y
_atom_site_fract_z
Li1 0.169 0.174 0.322
Li2 0.196 0.000 0.851
Ga1 0.000 0.354 0.000
Ni1 0.000 0.500 0.500
```

Output
Mass density   2.84 Mg/m³

=====

B.
Material: Li6Ga2Ni
Method: DFT, PBE
State: optimized geometry

The structure in CIF format:
```
data_Li6Ga2Ni
_cell_length_a 13.156
_cell_length_b 4.235
_cell_length_c 5.082
_cell_angle_alpha 90.00
_cell_angle_beta 109.91
_cell_angle_gamma 90.00
_symmetry_space_group_name_H-M 'C 1 2/m 1'
_symmetry_Int_Tables_number 12
loop_
_symmetry_equiv_pos_as_xyz
'x,y,z'
'-x,-y,-z'
'-x,y,-z'
'x,-y,z'
'x+1/2,y+1/2,z'
'-x+1/2,-y+1/2,-z'
'-x+1/2,y+1/2,-z'
'x+1/2,-y+1/2,z'
loop_
_atom_site_label
_atom_site_fract_x
_atom_site_fract_y
_atom_site_fract_z
Li1 0.094 0.000 0.040
Li2 0.159 0.500 0.859
Li3 0.203 0.000 0.574
Ga1 0.056 0.500 0.313
Ni1 0.000 0.000 0.500
```

Output
Mass density   2.99 Mg/m³

=====

Most stable: B

=====

A.
Material: Li2GaNi3
Method: DFT, PBE
State: optimized geometry

The structure in CIF format:
```
data_Li2GaNi3
_cell_length_a 4.8638
_cell_length_b 4.8638
_cell_length_c 7.6788
_cell_angle_alpha 90.00
_cell_angle_beta 90.00
_cell_angle_gamma 120.00
_symmetry_space_group_name_H-M 'P 63/m m c'
_symmetry_Int_Tables_number 194
_symmetry_space_group_name_Hall '-P 6c 2c'
loop_
_atom_site_label
_atom_site_fract_x
_atom_site_fract_y
_atom_site_fract_z
Li1 0.3333 0.6667 0.0723
Ga1 0.0000 0.0000 0.0000
Ni1 0.1719 0.3438 0.7500
```

Output
Mass density   5.48 Mg/m³

=====

B.
Material: Li2GaNi3
Method: DFT, PBE
State: optimized geometry

The structure in CIF format:
```
data_Li2GaNi3
_cell_length_a 4.8294
_cell_length_b 4.8294
_cell_length_c 11.7548
_cell_angle_alpha 90.00
_cell_angle_beta 90.00
_cell_angle_gamma 120.00
_symmetry_space_group_name_H-M 'R -3 m'
_symmetry_Int_Tables_number 166
_symmetry_space_group_name_Hall '-R 3 2"'
loop_
_atom_site_label
_atom_site_fract_x
_atom_site_fract_y
_atom_site_fract_z
Li1 0.0000 0.0000 0.1194
Ga1 0.0000 0.0000 0.5000
Ni1 0.0000 0.5000 0.0000
```

Output
Mass density   5.45 Mg/m³

=====

Most stable: B